Entry i
Compound: Zr2AgBr
Source: the Alexandria database
Functional: GGA-PBEsol
Structure: relaxed

```
Zr2AgBr
1.0
-0.6213 3.0937 0.5006
-2.0711 0.3024 -4.4398
-3.2062 -2.9423 4.0085
Br Zr Ag
1 2 1
direct
0.2684 0.7684 0.5368 Br
0.9858 0.9858 0.9715 Zr
0.7402 0.2402 0.4804 Zr
0.5056 0.5056 0.0113 Ag
```

Entry ii
Compound: Zr2AgBr
Source: the Alexandria database
Functional: GGA-PBEsol
Structure: relaxed

```
Zr2AgBr
1.0
3.1071 0.1242 0.1423
-0.1836 4.9701 0.1627
-0.1836 -0.5108 4.9464
Zr Ag Br
2 1 1
direct
0.0000 0.0000 0.5000 Zr
0.0000 0.5000 0.0000 Zr
0.5000 0.5000 0.5000 Ag
0.5000 0.0000 0.0000 Br
```

Most stable one: entry ii, least stable one: entry i.

Entry i
Compound: CoAg3C
Source: the Alexandria database
Functional: GGA-PBEsol
Structure: relaxed

```
CoAg3C
1.0
-1.4955 -2.2893 3.1458
3.8825 -0.6614 1.3644
-0.2502 3.4198 2.3697
Ag C Co
3 1 1
direct
0.0000 0.0000 0.5000 Ag
0.0000 0.5000 0.0000 Ag
0.5000 0.0000 0.0000 Ag
0.0000 0.0000 0.0000 C
0.5000 0.5000 0.5000 Co
```

Entry ii
Compound: CoAg3C
Source: the Alexandria database
Functional: GGA-PBEsol
Structure: relaxed

```
CoAg3C
1.0
-2.8504 -3.6566 0.3287
1.1997 -0.5345 4.4586
-3.4698 2.8191 1.2716
Ag C Co
3 1 1
direct
0.0000 0.5000 0.0000 Ag
0.5000 0.0000 0.0000 Ag
0.0000 0.0000 0.5000 Ag
0.5000 0.5000 0.5000 C
0.0000 0.0000 0.0000 Co
```

Most stable one: entry i, least stable one: entry ii.

Entry i
Compound: AgTeC3
Source: the Alexandria database
Functional: GGA-PBEsol
Structure: relaxed

```
AgTeC3
1.0
4.1423 0.0000 0.0000
0.0000 4.1423 0.0000
0.0000 0.0000 4.1423
C Te Ag
3 1 1
direct
0.0000 0.5000 0.0000 C
0.5000 0.0000 0.0000 C
0.0000 0.0000 0.5000 C
0.5000 0.5000 0.5000 Te
0.0000 0.0000 0.0000 Ag
```

Entry ii
Compound: AgTeC3
Source: the Alexandria database
Functional: GGA-PBEsol
Structure: relaxed

```
AgTeC3
1.0
4.1716 0.0000 0.0000
0.0000 4.1716 0.0000
0.0000 0.0000 4.1716
C Te Ag
3 1 1
direct
0.0000 0.5000 0.0000 C
0.5000 0.0000 0.0000 C
0.0000 0.0000 0.5000 C
0.0000 0.0000 0.0000 Te
0.5000 0.5000 0.5000 Ag
```

Most stable one: entry ii, least stable one: entry i.

Entry i
Compound: Ca3Ag
Source: the Alexandria database
Functional: GGA-PBEsol
Structure: relaxed

```
Ca3Ag
1.0
-0.7936 -0.1152 3.6906
5.5934 0.1288 1.2067
-2.5689 5.9340 -2.2995
Ag Ca
1 3
direct
0.0000 0.5000 0.0000 Ag
0.3015 0.3015 0.6031 Ca
0.5000 0.0000 0.0000 Ca
0.6985 0.6985 0.3969 Ca
```

Entry ii
Compound: Ca3Ag
Source: the Alexandria database
Functional: GGA-PBEsol
Structure: relaxed

```
Ca3Ag
1.0
4.2372 0.0000 0.0000
0.0000 8.0707 -0.0815
0.0000 -2.1229 7.7869
Ca Ag
6 2
direct
0.2500 0.1115 0.8885 Ca
0.7500 0.4359 0.1772 Ca
0.7500 0.8885 0.1115 Ca
0.7500 0.8228 0.5641 Ca
0.2500 0.1772 0.4359 Ca
0.2500 0.5641 0.8228 Ca
0.2500 0.7261 0.2739 Ag
0.7500 0.2739 0.7261 Ag
```

Most stable one: entry ii, least stable one: entry i.

Entry i
Compound: Ca3Ag
Source: the Alexandria database
Functional: GGA-PBEsol
Structure: relaxed

```
Ca3Ag
1.0
3.7914 0.0000 0.0000
0.0000 6.0699 0.0000
-1.8957 -3.0349 5.6794
Ca Ag
3 1
direct
0.3009 0.6845 0.6018 Ca
0.5000 0.4032 0.0000 Ca
0.6991 0.0827 0.3982 Ca
0.0000 0.9962 0.0000 Ag
```

Entry ii
Compound: Ca3Ag
Source: the Alexandria database
Functional: GGA-PBEsol
Structure: relaxed

```
Ca3Ag
1.0
-1.9467 -1.5677 6.2184
7.5552 -1.2932 2.0392
0.8906 9.3666 2.6402
Ca Ag
12 4
direct
0.3685 0.5323 0.7500 Ca
0.6315 0.4677 0.2500 Ca
0.8432 0.6774 0.9397 Ca
0.1568 0.3226 0.0603 Ca
0.6568 0.1774 0.9397 Ca
0.3432 0.8226 0.0603 Ca
0.8432 0.6774 0.5603 Ca
0.8685 0.9677 0.2500 Ca
0.3432 0.8226 0.4397 Ca
0.1568 0.3226 0.4397 Ca
0.6568 0.1774 0.5603 Ca
0.1315 0.0323 0.7500 Ca
0.9465 0.3803 0.7500 Ag
0.0535 0.6197 0.2500 Ag
0.4465 0.1197 0.2500 Ag
0.5535 0.8803 0.7500 Ag
```

Entry iii
Compound: Ca3Ag
Source: the Alexandria database
Functional: GGA-PBEsol
Structure: relaxed

```
Ca3Ag
1.0
3.6982 0.0420 0.0000
-0.0464 3.6982 0.0000
0.0000 0.0000 9.3483
Ag Ca
1 3
direct
0.0000 0.0000 0.0000 Ag
0.5000 0.5000 0.1884 Ca
0.0000 0.0000 0.5000 Ca
0.5000 0.5000 0.8116 Ca
```

Most stable one: entry ii, least stable one: entry i.

Entry i
Compound: Ca5Ag3
Source: the Alexandria database
Functional: GGA-PBEsol
Structure: relaxed

```
Ca5Ag3
1.0
-1.5832 -4.4588 4.4257
8.6808 -1.7567 1.3354
-4.0971 6.2965 4.8780
Ag Ca
6 10
direct
0.7500 0.0000 0.6054 Ag
0.2500 0.3946 0.0000 Ag
0.7500 0.3946 0.3946 Ag
0.7500 0.6054 0.0000 Ag
0.2500 0.0000 0.3946 Ag
0.2500 0.6054 0.6054 Ag
0.2500 0.2552 0.2552 Ca
0.2500 0.7448 0.0000 Ca
0.7500 0.7448 0.7448 Ca
0.2500 0.0000 0.7448 Ca
0.7500 0.0000 0.2552 Ca
0.5000 0.3333 0.6667 Ca
0.7500 0.2552 0.0000 Ca
0.5000 0.6667 0.3333 Ca
0.0000 0.6667 0.3333 Ca
0.0000 0.3333 0.6667 Ca
```

Entry ii
Compound: Ca5Ag3
Source: the Alexandria database
Functional: GGA-PBEsol
Structure: relaxed

```
Ca5Ag3
1.0
-3.2294 5.1712 -1.5017
-6.1273 1.8155 6.3017
4.0095 7.2921 3.3617
Ag Ca
6 10
direct
0.7500 0.0000 0.0000 Ag
0.6589 0.1821 0.5000 Ag
0.3411 0.8179 0.5000 Ag
0.1589 0.5000 0.1821 Ag
0.2500 0.0000 0.0000 Ag
0.8411 0.5000 0.8179 Ag
0.2125 0.7059 0.8691 Ca
0.0816 0.1309 0.7059 Ca
0.7125 0.8691 0.7059 Ca
0.2500 0.5000 0.5000 Ca
0.4184 0.2941 0.8691 Ca
0.2875 0.1309 0.2941 Ca
0.5816 0.7059 0.1309 Ca
0.7875 0.2941 0.1309 Ca
0.7500 0.5000 0.5000 Ca
0.9184 0.8691 0.2941 Ca
```

Most stable one: entry i, least stable one: entry ii.

Entry i
Compound: CaAgCl2
Source: the Alexandria database
Functional: GGA-PBEsol
Structure: relaxed

```
CaAgCl2
1.0
3.9726 0.0000 0.0000
0.0000 5.1917 0.0000
-1.9863 -2.5959 4.9163
Ag Cl Ca
1 2 1
direct
0.5000 0.0000 0.0000 Ag
0.6763 0.6763 0.3526 Cl
0.3237 0.3237 0.6474 Cl
0.0000 0.5000 0.0000 Ca
```

Entry ii
Compound: CaAgCl2
Source: the Alexandria database
Functional: GGA-PBEsol
Structure: relaxed

```
CaAgCl2
1.0
-3.8802 0.7445 -2.9164
-2.5073 -3.8306 -1.7765
-4.5279 -0.9482 1.6477
Ag Cl Ca
1 2 1
direct
0.0000 0.0000 0.0000 Ag
0.7500 0.7500 0.7500 Cl
0.2500 0.2500 0.2500 Cl
0.5000 0.5000 0.5000 Ca
```

Most stable one: entry ii, least stable one: entry i.

Entry i
Compound: CaCoAg2
Source: the Alexandria database
Functional: GGA-PBEsol
Structure: relaxed

```
CaCoAg2
1.0
3.1713 0.0000 0.0000
0.0000 3.5555 0.0000
0.0000 0.0000 6.3931
Ca Ag Co
1 2 1
direct
0.0000 0.0000 0.5139 Ca
0.0000 0.0000 0.9788 Ag
0.5000 0.5000 0.2121 Ag
0.5000 0.5000 0.7952 Co
```

Entry ii
Compound: CaCoAg2
Source: the Alexandria database
Functional: GGA-PBEsol
Structure: relaxed

```
CaCoAg2
1.0
-2.0960 -0.3358 2.0762
-2.6679 -1.0709 -0.7432
1.4026 -9.0513 2.0753
Co Ca Ag
1 1 2
direct
0.0000 0.0000 0.0000 Co
0.5000 0.5000 0.5000 Ca
0.7406 0.7406 0.7781 Ag
0.2594 0.2594 0.2219 Ag
```

Entry iii
Compound: CaCoAg2
Source: the Alexandria database
Functional: GGA-PBEsol
Structure: relaxed

```
CaCoAg2
1.0
-3.0255 -3.4676 -0.5914
-1.2101 -2.6626 3.6019
-4.2698 0.3164 1.7878
Ag Ca Co
2 1 1
direct
0.7500 0.7500 0.7500 Ag
0.0000 0.0000 0.0000 Ag
0.5000 0.5000 0.5000 Ca
0.2500 0.2500 0.2500 Co
```

Most stable one: entry i, least stable one: entry ii.